The following is a PBE calculation of a geometry-optimized AcLaCo2 structure, from Alexandria via LeMat-Bulk.

Unit cell a=4.0684 b=6.1339 c=8.0037 alpha=90.00 beta=90.00 gamma=90.00
Sites, in units of the cell vectors:
Ac1 0.5000 0.3774 0.3229
Ac2 0.5000 0.6226 0.8229
La1 0.0000 0.1216 0.6832
La2 0.0000 0.8784 0.1832
Co1 0.0000 0.6963 0.5218
Co2 0.0000 0.3037 0.0218
Co3 0.5000 0.8489 0.4721
Co4 0.5000 0.1511 0.9721

- polymorph energy (0 for the lowest one) (kJ per mole of atoms) = 0.0
- magnetic moment (μB/f.u.) = 1.3
- ΔH_f (0 K) (eV per atom) = -0.02
- volume (Å³ per cell) = 199.7

The following is a PBE calculation of a geometry-optimized Y2HgAu structure, from Alexandria via LeMat-Bulk.

Unit cell a=5.0922 b=5.0922 c=5.0922 alpha=60.00 beta=60.00 gamma=60.00
Sites, in units of the cell vectors:
Au1 0.5000 0.5000 0.5000
Hg1 0.7500 0.7500 0.7500
Y1 0.0000 0.0000 0.0000
Y2 0.2500 0.2500 0.2500

- magnetic moment (μB/f.u.) = 0.8
- ΔH_f (0 K) (eV per atom) = -0.25
- volume (Å³ per cell) = 93.4

The following is a PBE calculation of a geometry-optimized DyScRu4 structure, from Alexandria via LeMat-Bulk.

Unit cell a=5.2653 b=5.2653 c=5.2653 alpha=60.00 beta=60.00 gamma=60.00
Sites, in units of the cell vectors:
Sc1 0.0000 0.0000 0.0000
Ru1 0.6253 0.6253 0.1241
Ru2 0.6253 0.1241 0.6253
Ru3 0.6253 0.6253 0.6253
Ru4 0.1241 0.6253 0.6253
Dy1 0.2500 0.2500 0.2500

- magnetic moment (μB/f.u.) = 0.0
- ΔH_f (0 K) (eV per atom) = -0.32
- volume (Å³ per cell) = 103.2

The following is a PBE calculation of a geometry-optimized Tc2HgSe structure, from Alexandria via LeMat-Bulk.

Unit cell a=3.0790 b=3.0790 c=6.9002 alpha=90.00 beta=90.00 gamma=90.00
Sites, in units of the cell vectors:
Hg1 0.5000 0.5000 0.2500
Se1 0.5000 0.5000 0.7500
Tc1 0.0000 0.0000 0.9571
Tc2 0.0000 0.0000 0.5429

- polymorph energy (0 for the lowest one) (kJ per mole of atoms) = 27.1
- magnetic moment (μB/f.u.) = 0.0
- formation energy (no corrections) (eV per atom) = 0.444
- volume (Å³ per cell) = 65.4

The following is a PBE calculation of a geometry-optimized ZnReAsH2 structure, from Alexandria via LeMat-Bulk.

Unit cell a=3.5699 b=5.1255 c=3.5699 alpha=90.00 beta=90.00 gamma=90.00
Sites, in units of the cell vectors:
Re1 0.0000 0.5000 0.0000
As1 0.0000 0.0000 0.0000
Zn1 0.5000 0.5000 0.5000
H1 0.0000 0.0000 0.5000
H2 0.5000 0.0000 0.0000

- raw total energy (eV/f.u.) = -21.21
- magnetic moment (μB/f.u.) = 0.8
- volume (Å³ per cell) = 65.3

The following is a PBE calculation of a geometry-optimized Re2MoCl structure, from Alexandria via LeMat-Bulk.

Unit cell a=5.2684 b=5.2684 c=4.5864 alpha=64.00 beta=64.00 gamma=32.03
Sites, in units of the cell vectors:
Cl1 0.5008 0.5008 0.4619
Mo1 0.2259 0.2259 0.2772
Re1 0.0105 0.0105 0.0189
Re2 0.7627 0.7627 0.7419

- polymorph energy (0 for the lowest one) (kJ per mole of atoms) = 48.6
- magnetic moment (μB/f.u.) = 0.0
- formation energy (no corrections) (eV per atom) = 0.747
- volume (Å³ per cell) = 60.1